[1]
The following is a DFT calculation (PBE-GGA) of a geometry-optimized BeB2S structure.

The value obtained for the uncorrected formation energy is -0.0928 eV/atom. The total energy is -43.2 eV for the cell shown.

The space group is P1 (No. 1) and the conventional cell measures 3.097, 3.492 and 8.518 Å, with angles of 79.89, 80.19 and 64.98 degrees. The inequivalent atoms are Be at (0.000, 0.000, 0.000), Be at (0.432, 0.688, 0.444), B at (0.230, 0.232, 0.335), B at (0.497, 0.368, 0.634), B at (0.743, 0.094, 0.430), B at (0.857, 0.676, 0.614), S at (0.279, 0.346, 0.110) and S at (0.616, 0.960, 0.810).

[2]
The following is a DFT calculation (PBE-GGA) of a geometry-optimized BeBS2 structure.

The value obtained for the uncorrected formation energy is 0.0016 eV/atom. The total energy is -56.0 eV for the cell shown.

The space group is R-3m (No. 166, hexagonal axes) and the conventional cell measures 3.3879, 3.3879 and 17.5804 Å, with angles of 90.00, 90.00 and 120.00 degrees. The inequivalent atoms are Be at (0.0000, 0.0000, 0.0000), B at (0.0000, 0.0000, 0.5000) and S at (0.0000, 0.0000, 0.4021).

[3]
The following is a DFT calculation (PBE-GGA) of a geometry-optimized BeB2S structure.

The value obtained for the uncorrected formation energy is -0.0581 eV/atom. The total energy is -85.8 eV for the cell shown.

The space group is Cm (No. 8) and the conventional cell measures 20.706, 3.393 and 2.974 Å, with angles of 90.00, 95.08 and 90.00 degrees. The inequivalent atoms are Be at (0.000, 0.000, 0.000), Be at (0.151, 0.000, 0.670), B at (0.093, 0.242, 0.138), B at (0.122, 0.500, 0.655), B at (0.208, 0.500, 0.708), S at (0.259, 0.500, 0.239) and S at (0.450, 0.000, 0.846).